VASP calculation (PBE) on a geometry-optimized Dy11Ga4Hg9 structure.

## Properties
The calculation puts the magnetization at 0.00 μB/atom. The value obtained for the energy of formation from the pure elements is -11.48 eV per formula unit. The crystal system is orthorhombic. The total DFT energy (no corrections) comes out at -3.205 eV per atom.

The structure in extended XYZ format:
```
24
Lattice="-0.884 3.543 1.077 -12.446 -2.250 -2.807 2.872 -3.015 12.268" Properties=species:S:1:pos:R:3 pbc="T T T"
Dy -2.686 -2.737 6.798
Dy 0.000 0.000 0.000
Dy -4.642 -4.109 9.703
Dy 0.256 -1.415 4.863
Hg -7.818 -0.090 0.610
Hg -2.639 -1.632 9.929
Hg -0.532 1.015 2.953
Hg -5.229 -0.861 5.269
Hg -0.498 -0.455 7.813
Dy 0.271 -2.885 9.708
Dy -9.830 -3.850 4.598
Ga -8.066 -1.551 5.210
Dy -6.852 -3.768 6.772
Hg -2.889 1.132 0.633
Ga -2.391 -0.171 5.328
Dy -2.721 -1.497 2.689
Dy -9.845 -2.380 -0.247
Dy -6.888 -2.528 2.663
Dy -4.932 -1.156 -0.242
Ga -5.294 -0.026 2.471
Hg -7.568 -2.855 9.905
Ga -5.163 -1.696 8.068
Hg -9.959 -1.267 2.725
Hg -9.925 -2.737 7.586
```


VASP calculation (PBE) on a geometry-optimized CdHPdPt2 structure.

## Properties
The calculation puts the magnetization at 0.00 μB/atom. The value obtained for the energy above the most stable polymorph in this dataset is 98.6 meV per atom. The crystal system is tetragonal. The total DFT energy (no corrections) comes out at -4.401 eV per atom.

The structure in extended XYZ format:
```
5
Lattice="-3.497 -0.942 -1.523 -0.679 -2.394 3.041 -1.897 3.400 2.253" Properties=species:S:1:pos:R:3 pbc="T T T"
Pt -1.749 -0.471 -0.761
Pt -0.340 -1.197 1.520
Cd -0.949 1.700 1.127
H 0.000 0.000 0.000
Pd -3.037 0.032 1.886
```


VASP calculation (PBE) on a geometry-optimized AlPIr2 structure.

## Properties
The calculation puts the magnetization at 0.00 μB/atom. The value obtained for the energy of formation from the pure elements is -0.45 eV per formula unit. The value obtained for the energy above the most stable polymorph in this dataset is 313.7 meV per atom. The crystal system is tetragonal. The total DFT energy (no corrections) comes out at -6.831 eV per atom.

The structure in extended XYZ format:
```
8
Lattice="5.513 0.000 0.000 0.000 5.513 0.000 2.757 2.757 5.149" Properties=species:S:1:pos:R:3 pbc="T T T"
Ir 4.135 3.962 3.861
Al 2.757 5.513 2.574
P 0.000 0.000 0.000
Al 2.757 2.757 0.000
Ir 6.892 7.065 3.861
P 5.513 2.757 2.574
Ir 1.205 4.135 1.287
Ir 4.308 1.378 1.287
```


VASP calculation (PBE) on a geometry-optimized Zr2Bi2Cl structure.

## Properties
The calculation puts the magnetization at 0.00 μB/atom. The value obtained for the energy above the most stable polymorph in this dataset is 0.0 meV per atom. The crystal system is tetragonal. The total DFT energy (no corrections) comes out at -5.827 eV per atom.

The structure in extended XYZ format:
```
10
Lattice="-4.696 -6.446 -0.483 2.965 -1.618 -7.241 2.844 -2.196 1.655" Properties=species:S:1:pos:R:3 pbc="T T T"
Zr 0.351 -1.522 -2.623
Bi 0.908 -6.652 -5.657
Cl -0.866 -4.032 -3.862
Zr -2.604 -4.414 -1.382
Cl 0.000 0.000 0.000
Bi 2.649 -3.097 -3.933
Bi 0.205 -3.608 -0.412
Zr 0.872 -3.650 -6.342
Bi -1.536 -7.163 -2.135
Zr -2.083 -6.542 -5.102
```


> Which value of magnetization does entry 4 give?

0.00 μB/atom